# K2CaYN meta-GGA SCAN single point on PBEsol structure
data_K2CaYN
_cell_length_a 7.3365
_cell_length_b 7.3365
_cell_length_c 6.3500
_cell_angle_alpha 90.00
_cell_angle_beta 90.00
_cell_angle_gamma 90.00
_space_group_name_H-M_alt 'P 1'
_space_group_IT_number 1
_space_group_name_Hall 'P 1'
loop_
_atom_site_label
_atom_site_fract_x
_atom_site_fract_y
_atom_site_fract_z
K1 0.0000 0.5000 0.0000
K2 0.5000 0.0000 0.0000
Ca1 0.0000 0.0000 0.0000
Y1 0.0000 0.0000 0.5000
N1 0.5000 0.5000 0.5000
# * space-group type: P4/mmm
# * formation energy from raw total energies: 1712 meV per atom

=====

# PrOs2 meta-GGA SCAN single point on PBEsol structure
data_PrOs2
_cell_length_a 5.3997
_cell_length_b 5.3997
_cell_length_c 5.3997
_cell_angle_alpha 60.00
_cell_angle_beta 60.00
_cell_angle_gamma 60.00
_space_group_name_H-M_alt 'P 1'
_space_group_IT_number 1
_space_group_name_Hall 'P 1'
loop_
_atom_site_label
_atom_site_fract_x
_atom_site_fract_y
_atom_site_fract_z
Pr1 0.1250 0.1250 0.1250
Pr2 0.8750 0.8750 0.8750
Os1 0.0000 0.5000 0.5000
Os2 0.5000 0.0000 0.5000
Os3 0.5000 0.5000 0.0000
Os4 0.5000 0.5000 0.5000
# * space-group type: Fd-3m
# * calculated formation energy: -129 meV per atom
# * ΔE to the lowest computed polymorph: 31 meV per atom

=====

# SrLa2Pd2 meta-GGA SCAN single point on PBEsol structure
data_SrLa2Pd2
_cell_length_a 7.0138
_cell_length_b 7.0138
_cell_length_c 7.0138
_cell_angle_alpha 139.49
_cell_angle_beta 139.49
_cell_angle_gamma 58.62
_space_group_name_H-M_alt 'P 1'
_space_group_IT_number 1
_space_group_name_Hall 'P 1'
loop_
_atom_site_label
_atom_site_fract_x
_atom_site_fract_y
_atom_site_fract_z
Sr1 0.0000 0.0000 0.0000
La1 0.2500 0.7500 0.5000
La2 0.7500 0.2500 0.5000
Pd1 0.3907 0.3907 0.0000
Pd2 0.6093 0.6093 0.0000
# * space-group type: I4/mmm
# * calculated formation energy: -539 meV per atom
# * ΔE to the lowest computed polymorph: 107 meV per atom